# KSrCo2

A relaxed structure of KSrCo2 (PBE-GGA, Alexandria via LeMat-Bulk).

Cell lengths 7.1827, 7.1827, 7.1827 Å; angles 149.90, 139.82, 51.01 degrees
Closest atoms and distances in Å follow each position.
Element x y z (fractional)
Co 0.9020 0.9020 0.0000  2 Co 2.20
Co 0.8113 0.3113 0.5000  2 Co 2.20
K 0.5266 0.5266 0.0000  6 Co 3.49-3.73, 2 K 3.73, 2 Sr 3.91
Sr 0.2602 0.7602 0.5000  6 Co 3.08-3.16

Calculated values
* E_form: 0.60 eV/atom
* DFT total energy: -3.650 eV/atom
* energy relative to the lowest polymorph listed for this composition: 227 meV/atom
* crystal system: orthorhombic